Compound: CsCr2Cl
Source: Alexandria
Functional: PBE
Structure: relaxed

```
CsCr2Cl
1.0
3.500 -2.761 -1.008
-0.779 -4.055 -1.959
1.179 -0.695 -4.360
Cr Cs Cl
2 1 1
Cartesian
0.975 -1.878 -1.832 Cr
2.925 -5.633 -5.496 Cr
1.950 -3.755 -3.664 Cs
0.000 0.000 0.000 Cl
```

## Properties
Its formation energy (no corrections) is 2010 meV per atom. As for the space-group type: Fm-3m (225).

=====

Compound: Sr2ScTc
Source: Alexandria
Functional: PBE
Structure: relaxed

```
Sr2ScTc
1.0
5.076 -1.664 -0.847
2.738 -2.458 3.965
1.092 -5.287 -0.342
Sc Sr Tc
1 2 1
Cartesian
0.000 0.000 0.000 Sc
2.226 -2.352 0.694 Sr
6.679 -7.057 2.081 Sr
4.453 -4.704 1.388 Tc
```

## Properties
The value obtained for the energy above the most stable polymorph in this dataset is 607.6 meV/atom. The formation energy is 0.87 eV per atom. As for the space-group type: Fm-3m (225).

=====

Values for E_tot, eV/atom, ordered as above
-3.477; -4.147